# 1
The following is a DFT calculation (SCAN) of KI2Cl2 at its PBEsol-relaxed geometry.

a b c (Å): 6.8503 6.8503 6.8503
angles (deg): 129.18 129.18 74.72
With the nearest neighbours (Å) after each atom.
Element x y z (fractional)
1 K 0.0000 0.0000 0.0000  8 Cl 4.01, 10 I 4.11-4.37
2 I 0.3772 0.3772 0.0000  1 I 2.68
3 I 0.6228 0.6228 0.0000  1 I 2.68
4 Cl 0.2500 0.7500 0.5000  4 I 3.25
5 Cl 0.7500 0.2500 0.5000  4 I 3.25

Properties
Uncorrected formation energy   -430 meV/atom
Crystal system   tetragonal

# 2
The following is a DFT calculation (SCAN) of AgSb at its PBEsol-relaxed geometry.

a b c (Å): 3.1057 3.1057 8.9939
angles (deg): 90.00 90.00 90.00
With the nearest neighbours (Å) after each atom.
Element x y z (fractional)
1 Ag 0.2500 0.2500 0.1028  8 Ag 2.87-3.11, 4 Sb 3.01
2 Ag 0.7500 0.7500 0.8972  8 Ag 2.87-3.11, 4 Sb 3.01
3 Sb 0.2500 0.2500 0.6681  4 Ag 3.01, 4 Sb 3.11
4 Sb 0.7500 0.7500 0.3319  4 Ag 3.01, 4 Sb 3.11

Properties
Uncorrected formation energy   126 meV/atom
Crystal system   tetragonal
Energy relative to the lowest polymorph listed for this composition   54.5 meV per atom

# 3
The following is a DFT calculation (SCAN) of CaOs2Ru at its PBEsol-relaxed geometry.

a b c (Å): 5.3538 5.3538 4.9514
angles (deg): 115.78 115.78 29.86
With the nearest neighbours (Å) after each atom.
Element x y z (fractional)
1 Ca 0.0000 0.0000 0.0000  2 Ca 2.76, 7 Os 2.76-2.95, 3 Ru 2.76-2.96
2 Os 0.4929 0.4929 0.4756  2 Ru 2.61, 4 Os 2.62-2.76, 4 Ca 2.76-2.91
3 Os 0.7673 0.7673 0.4194  4 Os 2.62-2.76, 2 Ru 2.68, 1 Ca 2.80
4 Ru 0.2208 0.2208 0.8320  4 Os 2.61-2.68, 2 Ru 2.76, 1 Ca 2.76

Properties
Formation energy   0.438 eV per atom
Crystal system   monoclinic
Energy relative to the lowest polymorph listed for this composition   0.0 meV per atom

Energy in eV for the cell shown, matching the order above: -99.9, -136.7, -186.5
DOS at the Fermi energy in states/eV/f.u., matching the order above: 5.15, 0.58, 3.73